Computed, not measured: a relaxed TmFe2PH crystal at the GGA-PBE level of DFT.

abc: 5.3092 5.3092 6.8794
angles: 90.00 90.00 141.53
Last column: nearest neighbours and their distance in Å.
Fractional positions:
1 Tm 0.0469 0.9531 0.7500  4 H 2.50
2 Tm 0.9531 0.0469 0.2500  4 H 2.50
3 Fe 0.3327 0.6673 0.5569  1 H 1.72
4 Fe 0.3327 0.6673 0.9431  1 H 1.72
5 Fe 0.6673 0.3327 0.0569  1 H 1.72
6 Fe 0.6673 0.3327 0.4431  1 H 1.72
7 P 0.2345 0.7655 0.2500  6 Fe 2.30-2.33
8 P 0.7655 0.2345 0.7500  6 Fe 2.30-2.33
9 H 0.5000 0.5000 0.0000  2 Fe 1.72
10 H 0.5000 0.5000 0.5000  2 Fe 1.72

Calculated values
E_tot ... -6.670 eV per atom
Space-group type ... Cmcm (63)
Size of the total moment ... 6.1 μB per cell